Compound: FeNi5B2Pt2
Source: the Alexandria database
Functional: PBE-GGA
Structure: optimized geometry

```
data_FeNi5B2Pt2
_chemical_formula_sum 'Fe2 Ni10 B4 Pt4'
_symmetry_space_group_name_H-M 'P 1'
_symmetry_Int_Tables_number 1
_cell_length_a 3.2571
_cell_length_b 8.1599
_cell_length_c 8.1599
_cell_angle_alpha 90.00
_cell_angle_beta 90.00
_cell_angle_gamma 90.00
loop_
_symmetry_equiv_pos_as_xyz
'x,y,z'
loop_
_atom_site_label
_atom_site_type_symbol
_atom_site_fract_x
_atom_site_fract_y
_atom_site_fract_z
_atom_site_occupancy
B1 B 0.0000 0.6251 0.8749 1
B2 B 0.0000 0.8749 0.3749 1
B3 B 0.0000 0.1251 0.6251 1
B4 B 0.0000 0.3749 0.1251 1
Ni1 Ni 0.5000 0.2858 0.5670 1
Ni2 Ni 0.5000 0.4330 0.2858 1
Ni3 Ni 0.5000 0.0670 0.7858 1
Ni4 Ni 0.5000 0.5670 0.7142 1
Ni5 Ni 0.5000 0.7858 0.9330 1
Ni6 Ni 0.5000 0.9330 0.2142 1
Ni7 Ni 0.5000 0.0000 0.5000 1
Ni8 Ni 0.5000 0.2142 0.0670 1
Ni9 Ni 0.5000 0.5000 0.0000 1
Ni10 Ni 0.5000 0.7142 0.4330 1
Pt1 Pt 0.0000 0.3219 0.8219 1
Pt2 Pt 0.0000 0.6781 0.1781 1
Pt3 Pt 0.0000 0.8219 0.6781 1
Pt4 Pt 0.0000 0.1781 0.3219 1
Fe1 Fe 0.0000 0.0000 0.0000 1
Fe2 Fe 0.0000 0.5000 0.5000 1
```

- DFT formation energy (meV/atom) = -146
- N(E_F) (states/eV per cell) = 12.87
- uncorrected energy (eV for the cell shown) = -128.53

Compound: Pu2Fe3NiB12
Source: the Alexandria database
Functional: PBE-GGA
Structure: optimized geometry

```
data_Pu2Fe3NiB12
_chemical_formula_sum 'Pu2 Fe3 Ni1 B12'
_symmetry_space_group_name_H-M 'P 1'
_symmetry_Int_Tables_number 1
_cell_length_a 7.9852
_cell_length_b 7.9852
_cell_length_c 7.9852
_cell_angle_alpha 39.30
_cell_angle_beta 39.30
_cell_angle_gamma 39.30
loop_
_symmetry_equiv_pos_as_xyz
'x,y,z'
loop_
_atom_site_label
_atom_site_type_symbol
_atom_site_fract_x
_atom_site_fract_y
_atom_site_fract_z
_atom_site_occupancy
Pu1 Pu 0.3598 0.3598 0.3598 1
Pu2 Pu 0.6402 0.6402 0.6402 1
B1 B 0.9492 0.3208 0.9492 1
B2 B 0.3208 0.9492 0.9492 1
B3 B 0.3481 0.3481 0.0264 1
B4 B 0.9492 0.9492 0.3208 1
B5 B 0.6519 0.9736 0.6519 1
B6 B 0.0264 0.3481 0.3481 1
B7 B 0.6519 0.6519 0.9736 1
B8 B 0.3481 0.0264 0.3481 1
B9 B 0.0508 0.0508 0.6792 1
B10 B 0.9736 0.6519 0.6519 1
B11 B 0.0508 0.6792 0.0508 1
B12 B 0.6792 0.0508 0.0508 1
Fe1 Fe 0.0000 0.5000 0.0000 1
Fe2 Fe 0.5000 0.0000 0.0000 1
Fe3 Fe 0.0000 0.0000 0.5000 1
Ni1 Ni 0.0000 0.0000 0.0000 1
```

- DFT formation energy (meV/atom) = 35
- N(E_F) (states/eV per cell) = 19.24
- uncorrected energy (eV for the cell shown) = -139.34

Compound: FeReNi2B
Source: the Alexandria database
Functional: PBE-GGA
Structure: optimized geometry

```
data_FeReNi2B
_chemical_formula_sum 'Fe1 Re1 Ni2 B1'
_symmetry_space_group_name_H-M 'P 1'
_symmetry_Int_Tables_number 1
_cell_length_a 4.1505
_cell_length_b 4.3649
_cell_length_c 4.1505
_cell_angle_alpha 90.00
_cell_angle_beta 90.00
_cell_angle_gamma 90.00
loop_
_symmetry_equiv_pos_as_xyz
'x,y,z'
loop_
_atom_site_label
_atom_site_type_symbol
_atom_site_fract_x
_atom_site_fract_y
_atom_site_fract_z
_atom_site_occupancy
Ni1 Ni 0.5000 0.0000 0.0000 1
Ni2 Ni 0.0000 0.0000 0.5000 1
Re1 Re 0.0000 0.5000 0.0000 1
Fe1 Fe 0.0000 0.0000 0.0000 1
B1 B 0.5000 0.5000 0.5000 1
```

- DFT formation energy (meV/atom) = 1986
- N(E_F) (states/eV per cell) = 4.90
- uncorrected energy (eV for the cell shown) = -29.22

Compound: Sc2Fe5NiB2
Source: the Alexandria database
Functional: PBE-GGA
Structure: optimized geometry

```
data_Sc2Fe5NiB2
_chemical_formula_sum 'Sc4 Fe10 Ni2 B4'
_symmetry_space_group_name_H-M 'P 1'
_symmetry_Int_Tables_number 1
_cell_length_a 3.0876
_cell_length_b 8.6294
_cell_length_c 8.6294
_cell_angle_alpha 90.00
_cell_angle_beta 90.00
_cell_angle_gamma 90.00
loop_
_symmetry_equiv_pos_as_xyz
'x,y,z'
loop_
_atom_site_label
_atom_site_type_symbol
_atom_site_fract_x
_atom_site_fract_y
_atom_site_fract_z
_atom_site_occupancy
Fe1 Fe 0.5000 0.5000 0.0000 1
Fe2 Fe 0.5000 0.9326 0.2162 1
Fe3 Fe 0.5000 0.7162 0.4326 1
Fe4 Fe 0.5000 0.2162 0.0674 1
Fe5 Fe 0.5000 0.4326 0.2838 1
Fe6 Fe 0.5000 0.5674 0.7162 1
Fe7 Fe 0.5000 0.2838 0.5674 1
Fe8 Fe 0.5000 0.0674 0.7838 1
Fe9 Fe 0.5000 0.0000 0.5000 1
Fe10 Fe 0.5000 0.7838 0.9326 1
Ni1 Ni 0.0000 0.0000 0.0000 1
Ni2 Ni 0.0000 0.5000 0.5000 1
Sc1 Sc 0.0000 0.6746 0.1746 1
Sc2 Sc 0.0000 0.1746 0.3254 1
Sc3 Sc 0.0000 0.8254 0.6746 1
Sc4 Sc 0.0000 0.3254 0.8254 1
B1 B 0.0000 0.8777 0.3777 1
B2 B 0.0000 0.3777 0.1223 1
B3 B 0.0000 0.1223 0.6223 1
B4 B 0.0000 0.6223 0.8777 1
```

- DFT formation energy (meV/atom) = -267
- N(E_F) (states/eV per cell) = 24.97
- uncorrected energy (eV for the cell shown) = -153.57

Compound: Fe2NiSnB
Source: the Alexandria database
Functional: PBE-GGA
Structure: optimized geometry

```
data_Fe2NiSnB
_chemical_formula_sum 'Fe2 Ni1 Sn1 B1'
_symmetry_space_group_name_H-M 'P 1'
_symmetry_Int_Tables_number 1
_cell_length_a 3.9095
_cell_length_b 3.9353
_cell_length_c 3.9095
_cell_angle_alpha 90.00
_cell_angle_beta 90.00
_cell_angle_gamma 90.00
loop_
_symmetry_equiv_pos_as_xyz
'x,y,z'
loop_
_atom_site_label
_atom_site_type_symbol
_atom_site_fract_x
_atom_site_fract_y
_atom_site_fract_z
_atom_site_occupancy
Fe1 Fe 0.0000 0.0000 0.5000 1
Fe2 Fe 0.5000 0.0000 0.0000 1
B1 B 0.0000 0.0000 0.0000 1
Sn1 Sn 0.5000 0.5000 0.5000 1
Ni1 Ni 0.0000 0.5000 0.0000 1
```

- DFT formation energy (meV/atom) = -55
- N(E_F) (states/eV per cell) = 4.21
- uncorrected energy (eV for the cell shown) = -33.66

Compound: FeNi2SnB
Source: the Alexandria database
Functional: PBE-GGA
Structure: optimized geometry

```
data_FeNi2SnB
_chemical_formula_sum 'Fe1 Ni2 Sn1 B1'
_symmetry_space_group_name_H-M 'P 1'
_symmetry_Int_Tables_number 1
_cell_length_a 3.9166
_cell_length_b 3.9166
_cell_length_c 3.9199
_cell_angle_alpha 90.00
_cell_angle_beta 90.00
_cell_angle_gamma 90.00
loop_
_symmetry_equiv_pos_as_xyz
'x,y,z'
loop_
_atom_site_label
_atom_site_type_symbol
_atom_site_fract_x
_atom_site_fract_y
_atom_site_fract_z
_atom_site_occupancy
Ni1 Ni 0.5000 0.0000 0.0000 1
Ni2 Ni 0.0000 0.5000 0.0000 1
Sn1 Sn 0.5000 0.5000 0.5000 1
Fe1 Fe 0.0000 0.0000 0.5000 1
B1 B 0.0000 0.0000 0.0000 1
```

- DFT formation energy (meV/atom) = -130
- N(E_F) (states/eV per cell) = 2.91
- uncorrected energy (eV for the cell shown) = -31.35

Compound: TaFeNiB2
Source: the Alexandria database
Functional: PBE-GGA
Structure: optimized geometry

```
data_TaFeNiB2
_chemical_formula_sum 'Ta1 Fe1 Ni1 B2'
_symmetry_space_group_name_H-M 'P 1'
_symmetry_Int_Tables_number 1
_cell_length_a 4.2123
_cell_length_b 4.5351
_cell_length_c 4.2123
_cell_angle_alpha 90.00
_cell_angle_beta 90.00
_cell_angle_gamma 90.00
loop_
_symmetry_equiv_pos_as_xyz
'x,y,z'
loop_
_atom_site_label
_atom_site_type_symbol
_atom_site_fract_x
_atom_site_fract_y
_atom_site_fract_z
_atom_site_occupancy
Fe1 Fe 0.0000 0.5000 0.0000 1
B1 B 0.5000 0.0000 0.0000 1
B2 B 0.0000 0.0000 0.5000 1
Ni1 Ni 0.5000 0.5000 0.5000 1
Ta1 Ta 0.0000 0.0000 0.0000 1
```

- DFT formation energy (meV/atom) = 1842
- N(E_F) (states/eV per cell) = 4.23
- uncorrected energy (eV for the cell shown) = -30.24

Compound: Th2Fe3NiB12
Source: the Alexandria database
Functional: PBE-GGA
Structure: optimized geometry

```
data_Th2Fe3NiB12
_chemical_formula_sum 'Th2 Fe3 Ni1 B12'
_symmetry_space_group_name_H-M 'P 1'
_symmetry_Int_Tables_number 1
_cell_length_a 6.7372
_cell_length_b 6.7372
_cell_length_c 6.7372
_cell_angle_alpha 59.71
_cell_angle_beta 59.71
_cell_angle_gamma 59.71
loop_
_symmetry_equiv_pos_as_xyz
'x,y,z'
loop_
_atom_site_label
_atom_site_type_symbol
_atom_site_fract_x
_atom_site_fract_y
_atom_site_fract_z
_atom_site_occupancy
B1 B 0.8968 0.8968 0.3389 1
B2 B 0.1032 0.1032 0.6611 1
B3 B 0.2062 0.6458 0.6458 1
B4 B 0.3542 0.3542 0.7938 1
B5 B 0.1032 0.6611 0.1032 1
B6 B 0.3389 0.8968 0.8968 1
B7 B 0.8968 0.3389 0.8968 1
B8 B 0.6458 0.6458 0.2062 1
B9 B 0.6458 0.2062 0.6458 1
B10 B 0.6611 0.1032 0.1032 1
B11 B 0.7938 0.3542 0.3542 1
B12 B 0.3542 0.7938 0.3542 1
Fe1 Fe 0.0000 0.0000 0.5000 1
Fe2 Fe 0.5000 0.0000 0.0000 1
Fe3 Fe 0.0000 0.5000 0.0000 1
Th1 Th 0.6328 0.6328 0.6328 1
Th2 Th 0.3672 0.3672 0.3672 1
Ni1 Ni 0.0000 0.0000 0.0000 1
```

- DFT formation energy (meV/atom) = 607
- N(E_F) (states/eV per cell) = 10.29
- uncorrected energy (eV for the cell shown) = -115.22